(1)
HgTePb3 | meta-GGA SCAN | PBEsol geometry Values from VASP.

Calculated density ... 8.92 Mg/m³
Formation energy from raw total energies ... 1.86 eV per formula unit
V ... 176.8 Å³ per cell

The structure in Quantum ESPRESSO input format:
```
&SYSTEM
  ibrav = 0, nat = 5, ntyp = 3
/
ATOMIC_SPECIES
Hg 200.59 Hg.upf
Pb 207.20 Pb.upf
Te 127.60 Te.upf
CELL_PARAMETERS angstrom
-2.5951 -1.1827 4.8343
-2.2800 -4.5637 -2.3405
4.4239 -3.0459 1.6296
ATOMIC_POSITIONS angstrom
Hg 0.0000 0.0000 0.0000
Pb -1.2976 -0.5914 2.4171
Pb -1.1400 -2.2819 -1.1702
Pb 2.2119 -1.5229 0.8148
Te -0.2256 -4.3962 2.0617
```

(2)
CaNb2BiI | meta-GGA SCAN | PBEsol geometry Values from VASP.

Calculated density ... 6.69 Mg/m³
Formation energy from raw total energies ... 9.63 eV per formula unit
V ... 139.5 Å³ per cell

The structure in Quantum ESPRESSO input format:
```
&SYSTEM
  ibrav = 0, nat = 5, ntyp = 4
/
ATOMIC_SPECIES
Nb 92.91 Nb.upf
I 126.90 I.upf
Bi 208.98 Bi.upf
Ca 40.08 Ca.upf
CELL_PARAMETERS angstrom
-4.2226 -1.9439 1.9982
2.6638 -1.7441 3.9324
-0.8850 4.6660 2.6690
ATOMIC_POSITIONS angstrom
Nb -2.1113 -0.9719 0.9991
Nb 1.3319 -0.8721 1.9662
I -1.2219 0.4890 4.2998
Bi -0.4425 2.3330 1.3345
Ca 0.0000 0.0000 0.0000
```